Record 1
## LaAl3I (PBE-GGA)

Data for a relaxed LaAl3I crystal.

abc: 5.4410 5.4410 5.4410
angles: 90.00 90.00 90.00
Closest atoms and distances in Å follow each position.
Fractional positions:
La1 0.0000 0.0000 0.0000  12 Al 3.85
Al1 0.0000 0.5000 0.5000  2 I 2.72
Al2 0.5000 0.0000 0.5000  2 I 2.72
Al3 0.5000 0.5000 0.0000  2 I 2.72
I1 0.5000 0.5000 0.5000  6 Al 2.72

Results
Symmetry: Pm-3m, No. 221
Relative energy among the computed polymorphs in meV/atom: 0.0

Record 2
## La4AlI5 (PBE-GGA)

Data for a relaxed La4AlI5 crystal.

abc: 10.2626 10.2626 9.3406
angles: 102.15 102.15 25.01
Closest atoms and distances in Å follow each position.
Fractional positions:
La1 0.0003 0.0003 0.2268  2 Al 3.07, 4 I 3.30-3.39
La2 0.9997 0.9997 0.7732  2 Al 3.07, 4 I 3.30-3.39
La3 0.3467 0.3467 0.9234  1 Al 3.00, 4 I 3.25-3.31
La4 0.6533 0.6533 0.0766  1 Al 3.00, 4 I 3.25-3.31
Al1 0.5000 0.5000 0.0000  6 La 3.00-3.07
I1 0.1681 0.1681 0.3361  3 La 3.25-3.30
I2 0.1712 0.1712 0.8256  4 La 3.31-3.44
I3 0.5000 0.5000 0.5000  4 La 3.39
I4 0.8288 0.8288 0.1744  4 La 3.31-3.44
I5 0.8319 0.8319 0.6639  3 La 3.25-3.30

Results
Symmetry: C2/m, No. 12

Record 3
## La8Al4I7 (PBE-GGA)

Data for a relaxed La8Al4I7 crystal.

abc: 4.3470 18.1286 25.4953
angles: 77.16 85.12 83.16
Closest atoms and distances in Å follow each position.
Fractional positions:
La1 0.0031 0.0709 0.4234  6 Al 3.26-3.58, 3 I 3.41-3.51
La2 0.0147 0.2360 0.2355  6 Al 3.29-3.56, 3 I 3.43-3.50
La3 0.0252 0.3707 0.0802  6 Al 3.26-3.51, 3 I 3.33-3.50
La4 0.1677 0.4089 0.7529  4 I 3.21-3.24, 1 Al 3.23
La5 0.1887 0.7215 0.3988  5 I 3.22-3.57, 1 Al 3.24
La6 0.2107 0.0137 0.0641  4 I 3.23-3.32, 1 Al 3.38
La7 0.3588 0.8019 0.9806  3 Al 3.23-3.26, 4 I 3.38-3.40
La8 0.3740 0.9391 0.8138  3 Al 3.22-3.24, 4 I 3.32-3.46
La9 0.3865 0.0875 0.6405  3 Al 3.15-3.22, 3 I 3.32-3.39
La10 0.3940 0.2416 0.4726  3 Al 3.23-3.28, 4 I 3.27-3.43
La11 0.4045 0.3961 0.2975  3 Al 3.23-3.26, 4 I 3.32-3.41
La12 0.4177 0.5447 0.1226  3 Al 3.24-3.26, 4 I 3.26-3.44
La13 0.5823 0.4553 0.8774  3 Al 3.24-3.26, 4 I 3.26-3.44
La14 0.5955 0.6039 0.7025  3 Al 3.23-3.26, 4 I 3.32-3.41
La15 0.6060 0.7584 0.5274  3 Al 3.23-3.28, 4 I 3.27-3.43
La16 0.6135 0.9125 0.3595  3 Al 3.15-3.22, 3 I 3.32-3.39
La17 0.6260 0.0609 0.1862  3 Al 3.22-3.24, 4 I 3.32-3.46
La18 0.6412 0.1981 0.0194  3 Al 3.23-3.26, 4 I 3.38-3.40
La19 0.7893 0.9863 0.9359  4 I 3.23-3.32, 1 Al 3.38
La20 0.8113 0.2785 0.6012  5 I 3.22-3.57, 1 Al 3.24
La21 0.8323 0.5911 0.2471  4 I 3.21-3.24, 1 Al 3.23
La22 0.9748 0.6293 0.9198  6 Al 3.26-3.51, 3 I 3.33-3.50
La23 0.9853 0.7640 0.7645  6 Al 3.29-3.56, 3 I 3.43-3.50
La24 0.9969 0.9291 0.5766  6 Al 3.26-3.58, 3 I 3.41-3.51
Al1 0.0679 0.5616 0.8002  2 Al 2.67
Al2 0.0884 0.8673 0.4547  2 Al 2.68
Al3 0.1063 0.1718 0.1157  2 Al 2.63
Al4 0.4396 0.7577 0.8628  3 Al 2.61-2.63
Al5 0.4600 0.0581 0.5228  3 Al 2.60-2.68
Al6 0.4802 0.3648 0.1769  3 Al 2.61-2.67
Al7 0.5198 0.6352 0.8231  3 Al 2.61-2.67
Al8 0.5400 0.9419 0.4772  3 Al 2.60-2.68
Al9 0.5604 0.2423 0.1372  3 Al 2.61-2.63
Al10 0.8937 0.8282 0.8843  2 Al 2.63
Al11 0.9116 0.1327 0.5453  2 Al 2.68
Al12 0.9321 0.4384 0.1998  2 Al 2.67
I1 0.0802 0.0455 0.2939  6 La 3.39-3.46
I2 0.1039 0.3331 0.9576  5 La 3.33-3.44
I3 0.1307 0.6358 0.6000  4 La 3.35
I4 0.1945 0.9208 0.1878  3 La 3.23-3.32
I5 0.2178 0.1234 0.9420  5 La 3.30-3.40
I6 0.2836 0.2353 0.6992  3 La 3.27-3.32
I7 0.2925 0.3879 0.5299  3 La 3.22-3.27
I8 0.3016 0.5548 0.3440  4 La 3.24-3.57
I9 0.3167 0.6967 0.1732  3 La 3.21-3.26
I10 0.4757 0.2040 0.3460  6 La 3.41-3.51
I11 0.5000 0.5000 0.0000  6 La 3.38-3.50
I12 0.5243 0.7960 0.6540  6 La 3.41-3.51
I13 0.6833 0.3033 0.8268  3 La 3.21-3.26
I14 0.6984 0.4452 0.6560  4 La 3.24-3.57
I15 0.7075 0.6121 0.4701  3 La 3.22-3.27
I16 0.7164 0.7647 0.3008  3 La 3.27-3.32
I17 0.7822 0.8766 0.0580  5 La 3.30-3.40
I18 0.8055 0.0792 0.8122  3 La 3.23-3.32
I19 0.8693 0.3642 0.4000  4 La 3.35
I20 0.8961 0.6669 0.0424  5 La 3.33-3.44
I21 0.9198 0.9545 0.7061  6 La 3.39-3.46

Results
Symmetry: P-1, No. 2

Record 4
## LiLa2AlI (PBE-GGA)

Data for a relaxed LiLa2AlI crystal.

abc: 5.9896 5.9896 5.5143
angles: 90.00 90.00 90.00
Closest atoms and distances in Å follow each position.
Fractional positions:
Li1 0.0000 0.0000 0.0000  8 La 4.07, 4 Al 4.24
La1 0.0000 0.5000 0.5000  2 I 2.99
La2 0.5000 0.0000 0.5000  2 I 2.99
Al1 0.5000 0.5000 0.0000  2 I 2.76
I1 0.5000 0.5000 0.5000  2 Al 2.76, 4 La 2.99

Results
Symmetry: P4/mmm, No. 123

Record 5
## LaAlIN2 (PBE-GGA)

Data for a relaxed LaAlIN2 crystal.

abc: 4.1871 4.1871 5.2252
angles: 90.00 90.00 90.00
Closest atoms and distances in Å follow each position.
Fractional positions:
La1 0.0000 0.0000 0.0000  4 I 2.96
Al1 0.5000 0.5000 0.5000  4 N 2.09
I1 0.5000 0.5000 0.0000  2 Al 2.61
N1 0.0000 0.5000 0.5000  2 Al 2.09
N2 0.5000 0.0000 0.5000  2 Al 2.09

Results
Symmetry: P4/mmm, No. 123
Relative energy among the computed polymorphs in meV/atom: 0.0

Record 6
## LaAlIN2 (PBE-GGA)

Data for a relaxed LaAlIN2 crystal.

abc: 4.4289 4.4289 6.7710
angles: 90.00 90.00 90.00
Closest atoms and distances in Å follow each position.
Fractional positions:
La1 0.0000 0.0000 0.0000  4 N 2.21
Al1 0.5000 0.5000 0.5000  4 I 3.13
I1 0.0000 0.0000 0.5000  4 Al 3.13, 2 La 3.39
N1 0.0000 0.5000 0.0000  2 La 2.21
N2 0.5000 0.0000 0.0000  2 La 2.21

Results
Symmetry: P4/mmm, No. 123
Relative energy among the computed polymorphs in meV/atom: 466.8

Record 7
## LaAl2IO8 (PBE-GGA)

Data for a relaxed LaAl2IO8 crystal.

abc: 4.7433 4.7433 6.9176
angles: 99.75 99.75 78.69
Closest atoms and distances in Å follow each position.
Fractional positions:
La1 0.0000 0.0000 0.0000  6 O 2.43-2.46
Al1 0.4482 0.4482 0.7847  5 O 1.83-1.94
Al2 0.5518 0.5518 0.2153  5 O 1.83-1.94
I1 0.0000 0.0000 0.5000  6 O 1.84-1.94
O1 0.2059 0.7695 0.2917  1 Al 1.87, 1 I 1.94
O2 0.2305 0.7941 0.7083  1 Al 1.87, 1 I 1.94
O3 0.2569 0.2569 0.5500  1 I 1.84, 1 Al 1.90
O4 0.3352 0.3352 0.9964  2 Al 1.83-1.94
O5 0.6648 0.6648 0.0036  2 Al 1.83-1.94
O6 0.7431 0.7431 0.4500  1 I 1.84, 1 Al 1.90
O7 0.7695 0.2059 0.2917  1 Al 1.87, 1 I 1.94
O8 0.7941 0.2305 0.7083  1 Al 1.87, 1 I 1.94

Results
Symmetry: C2/m, No. 12

Record 8
## La2AlOsI (PBE-GGA)

Data for a relaxed La2AlOsI crystal.

abc: 5.6177 5.6177 4.8443
angles: 90.00 90.00 90.00
Closest atoms and distances in Å follow each position.
Fractional positions:
La1 0.0000 0.5000 0.0000  2 Os 2.81
La2 0.5000 0.0000 0.0000  2 Os 2.81
Al1 0.0000 0.0000 0.5000  2 Os 2.42
Os1 0.0000 0.0000 0.0000  2 Al 2.42
I1 0.5000 0.5000 0.5000  8 La 3.71, 4 Al 3.97

Results
Symmetry: P4/mmm, No. 123

Record 9
## Rb2LaAlI6 (PBE-GGA)

Data for a relaxed Rb2LaAlI6 crystal.

abc: 8.9601 8.9601 8.9601
angles: 60.00 60.00 60.00
Closest atoms and distances in Å follow each position.
Fractional positions:
Rb1 0.2500 0.2500 0.2500  12 I 4.48
Rb2 0.7500 0.7500 0.7500  12 I 4.48
La1 0.0000 0.0000 0.0000  6 I 3.16
Al1 0.5000 0.5000 0.5000  6 I 3.18
I1 0.2491 0.2491 0.7509  1 La 3.16, 1 Al 3.18
I2 0.2491 0.7509 0.2491  1 La 3.16, 1 Al 3.18
I3 0.2491 0.7509 0.7509  1 La 3.16, 1 Al 3.18
I4 0.7509 0.2491 0.2491  1 La 3.16, 1 Al 3.18
I5 0.7509 0.2491 0.7509  1 La 3.16, 1 Al 3.18
I6 0.7509 0.7509 0.2491  1 La 3.16, 1 Al 3.18

Results
Symmetry: Fm-3m, No. 225

Record 10
## LaAl2RuI (PBE-GGA)

Data for a relaxed LaAl2RuI crystal.

abc: 4.8733 4.8733 5.4536
angles: 90.00 90.00 90.00
Closest atoms and distances in Å follow each position.
Fractional positions:
La1 0.0000 0.0000 0.0000  2 Ru 2.73
Al1 0.0000 0.5000 0.5000  2 Ru 2.44
Al2 0.5000 0.0000 0.5000  2 Ru 2.44
Ru1 0.0000 0.0000 0.5000  4 Al 2.44, 2 La 2.73
I1 0.5000 0.5000 0.0000  4 La 3.45, 8 Al 3.66

Results
Symmetry: P4/mmm, No. 123

Record 11
## LaAlSbI2 (PBE-GGA)

Data for a relaxed LaAlSbI2 crystal.

abc: 6.2299 6.2299 6.2675
angles: 90.00 90.00 90.00
Closest atoms and distances in Å follow each position.
Fractional positions:
La1 0.0000 0.0000 0.0000  4 I 3.11, 2 Sb 3.13
Al1 0.5000 0.5000 0.5000  4 Sb 4.41, 8 I 4.42
Sb1 0.0000 0.0000 0.5000  2 La 3.13
I1 0.0000 0.5000 0.0000  2 La 3.11
I2 0.5000 0.0000 0.0000  2 La 3.11

Results
Symmetry: P4/mmm, No. 123
Relative energy among the computed polymorphs in meV/atom: 98.4

Record 12
## LaAlSb2I (PBE-GGA)

Data for a relaxed LaAlSb2I crystal.

abc: 6.1116 6.1116 6.2405
angles: 90.00 90.00 90.00
Closest atoms and distances in Å follow each position.
Fractional positions:
La1 0.0000 0.0000 0.0000  4 Sb 3.06, 2 I 3.12
Al1 0.5000 0.5000 0.5000  4 I 4.32, 8 Sb 4.37
Sb1 0.0000 0.5000 0.0000  2 La 3.06
Sb2 0.5000 0.0000 0.0000  2 La 3.06
I1 0.0000 0.0000 0.5000  2 La 3.12

Results
Symmetry: P4/mmm, No. 123
Relative energy among the computed polymorphs in meV/atom: 485.0

Record 13
## LaAlSb2I (PBE-GGA)

Data for a relaxed LaAlSb2I crystal.

abc: 5.2911 5.2911 5.6574
angles: 90.00 90.00 90.00
Closest atoms and distances in Å follow each position.
Fractional positions:
La1 0.0000 0.0000 0.0000  4 I 3.74, 8 Sb 3.87
Al1 0.5000 0.5000 0.5000  4 Sb 2.65, 2 I 2.83
Sb1 0.0000 0.5000 0.5000  2 Al 2.65
Sb2 0.5000 0.0000 0.5000  2 Al 2.65
I1 0.5000 0.5000 0.0000  2 Al 2.83

Results
Symmetry: P4/mmm, No. 123
Relative energy among the computed polymorphs in meV/atom: 0.0

Record 14
## LaAlSbI2 (PBE-GGA)

Data for a relaxed LaAlSbI2 crystal.

abc: 5.4503 5.4503 5.5975
angles: 90.00 90.00 90.00
Closest atoms and distances in Å follow each position.
Fractional positions:
La1 0.0000 0.0000 0.0000  4 Sb 3.85, 8 I 3.91
Al1 0.5000 0.5000 0.5000  4 I 2.73, 2 Sb 2.80
Sb1 0.5000 0.5000 0.0000  2 Al 2.80
I1 0.0000 0.5000 0.5000  2 Al 2.73
I2 0.5000 0.0000 0.5000  2 Al 2.73

Results
Symmetry: P4/mmm, No. 123
Relative energy among the computed polymorphs in meV/atom: 0.0

Record 15
## La8AlSi3I4 (PBE-GGA)

Data for a relaxed La8AlSi3I4 crystal.

abc: 9.3240 9.3240 9.3240
angles: 57.24 57.24 57.24
Closest atoms and distances in Å follow each position.
Fractional positions:
La1 0.2294 0.7390 0.7390  2 Si 3.02, 1 Al 3.08
La2 0.2336 0.2336 0.2336  3 Si 3.01
La3 0.2610 0.2610 0.7706  2 Si 3.02, 1 Al 3.08
La4 0.2610 0.7706 0.2610  2 Si 3.02, 1 Al 3.08
La5 0.7390 0.2294 0.7390  2 Si 3.02, 1 Al 3.08
La6 0.7390 0.7390 0.2293  2 Si 3.02, 1 Al 3.08
La7 0.7664 0.7664 0.7664  3 Si 3.01
La8 0.7706 0.2610 0.2610  2 Si 3.02, 1 Al 3.08
Al1 0.5000 0.5000 0.5000  6 La 3.08
Si1 0.0000 0.0000 0.5000  6 La 3.01-3.02
Si2 0.0000 0.5000 0.0000  6 La 3.01-3.02
Si3 0.5000 0.0000 0.0000  6 La 3.01-3.02
I1 0.0000 0.0000 0.0000  6 La 3.40
I2 0.0000 0.5000 0.5000  6 La 3.46-3.47
I3 0.5000 0.0000 0.5000  6 La 3.46-3.47
I4 0.5000 0.5000 0.0000  6 La 3.46-3.47

Results
Symmetry: R-3m, No. 166

Record 16
## LiAl3I (PBE-GGA)

Data for a relaxed LiAl3I crystal.

abc: 4.9097 4.9097 4.9097
angles: 90.00 90.00 90.00
Closest atoms and distances in Å follow each position.
Fractional positions:
Li1 0.0000 0.0000 0.0000  6 Al 2.45
Al1 0.0000 0.0000 0.5000  2 Li 2.45
Al2 0.0000 0.5000 0.0000  2 Li 2.45
Al3 0.5000 0.0000 0.0000  2 Li 2.45
I1 0.5000 0.5000 0.5000  12 Al 3.47

Results
Symmetry: Pm-3m, No. 221
Relative energy among the computed polymorphs in meV/atom: 0.0

Record 17
## Li2AlI (PBE-GGA)

Data for a relaxed Li2AlI crystal.

abc: 6.3827 6.3827 6.3827
angles: 106.01 106.01 116.65
Closest atoms and distances in Å follow each position.
Fractional positions:
Li1 0.1098 0.1250 0.4848  2 I 2.76, 2 Al 2.92
Li2 0.3750 0.8902 0.0152  2 I 2.76, 2 Al 2.92
Li3 0.6402 0.6250 0.5152  2 I 2.76, 2 Al 2.92
Li4 0.8750 0.3598 0.9848  2 I 2.76, 2 Al 2.92
Al1 0.2500 0.7500 0.5000  4 Li 2.92
Al2 0.5000 0.5000 0.0000  4 Li 2.92
I1 0.0000 0.0000 0.0000  4 Li 2.76
I2 0.7500 0.2500 0.5000  4 Li 2.76

Results
Symmetry: I-42d, No. 122
Relative energy among the computed polymorphs in meV/atom: 0.0

Record 18
## LiAlI4 (PBE-GGA)

Data for a relaxed LiAlI4 crystal.

abc: 8.0248 8.0248 10.4871
angles: 90.00 90.00 90.00
Closest atoms and distances in Å follow each position.
Fractional positions:
Li1 0.0000 0.0000 0.0000  4 I 2.85
Li2 0.0000 0.0000 0.5000  4 I 2.85
Al1 0.0000 0.5000 0.0000  4 I 2.65
Al2 0.5000 0.0000 0.5000  4 I 2.65
I1 0.2334 0.2669 0.0000  1 Al 2.65, 1 Li 2.85
I2 0.2334 0.7331 0.0000  1 Al 2.65, 1 Li 2.85
I3 0.2669 0.2334 0.5000  1 Al 2.65, 1 Li 2.85
I4 0.2669 0.7666 0.5000  1 Al 2.65, 1 Li 2.85
I5 0.7331 0.2334 0.5000  1 Al 2.65, 1 Li 2.85
I6 0.7331 0.7666 0.5000  1 Al 2.65, 1 Li 2.85
I7 0.7666 0.2669 0.0000  1 Al 2.65, 1 Li 2.85
I8 0.7666 0.7331 0.0000  1 Al 2.65, 1 Li 2.85

Results
Symmetry: P4_2/mmc, No. 131
Relative energy among the computed polymorphs in meV/atom: 231.3

Record 19
## LiAlI (PBE-GGA)

Data for a relaxed LiAlI crystal.

abc: 3.9394 3.9394 12.1484
angles: 90.00 90.00 90.00
Closest atoms and distances in Å follow each position.
Fractional positions:
Li1 0.2500 0.2500 0.0922  5 I 2.85
Li2 0.7500 0.7500 0.9078  5 I 2.85
Al1 0.2500 0.2500 0.5024  4 Al 2.79
Al2 0.7500 0.7500 0.4976  4 Al 2.79
I1 0.2500 0.2500 0.8578  5 Li 2.85
I2 0.7500 0.7500 0.1422  5 Li 2.85

Results
Symmetry: P4/nmm, No. 129

Record 20
## Li2AlI (PBE-GGA)

Data for a relaxed Li2AlI crystal.

abc: 5.1254 5.1254 5.1254
angles: 60.00 60.00 60.00
Closest atoms and distances in Å follow each position.
Fractional positions:
Li1 0.2500 0.2500 0.2500  4 I 3.14, 4 Al 3.14
Li2 0.7500 0.7500 0.7500  4 Al 3.14, 4 I 3.14
Al1 0.0000 0.0000 0.0000  8 Li 3.14
I1 0.5000 0.5000 0.5000  8 Li 3.14

Results
Symmetry: Fm-3m, No. 225
Relative energy among the computed polymorphs in meV/atom: 159.3

Record 21
## LiAl2I (PBE-GGA)

Data for a relaxed LiAl2I crystal.

abc: 5.2758 5.2758 5.2758
angles: 60.00 60.00 60.00
Closest atoms and distances in Å follow each position.
Fractional positions:
Li1 0.0000 0.0000 0.0000  8 Al 3.23
Al1 0.2500 0.2500 0.2500  4 I 3.23, 4 Li 3.23
Al2 0.7500 0.7500 0.7500  4 I 3.23, 4 Li 3.23
I1 0.5000 0.5000 0.5000  8 Al 3.23

Results
Symmetry: Fm-3m, No. 225
Relative energy among the computed polymorphs in meV/atom: 307.8

Record 22
## LiAlI4 (PBE-GGA)

Data for a relaxed LiAlI4 crystal.

abc: 7.4859 7.4859 7.4859
angles: 125.89 125.89 80.07
Closest atoms and distances in Å follow each position.
Fractional positions:
Li1 0.0000 0.0000 0.0000  4 I 2.81
Al1 0.7500 0.2500 0.5000  4 I 2.57
I1 0.0971 0.5968 0.9428  1 Al 2.57, 1 Li 2.81
I2 0.4032 0.3460 0.5003  1 Al 2.57, 1 Li 2.81
I3 0.6540 0.1542 0.0572  1 Al 2.57, 1 Li 2.81
I4 0.8458 0.9029 0.4997  1 Al 2.57, 1 Li 2.81

Results
Symmetry: I-4, No. 82
Relative energy among the computed polymorphs in meV/atom: 0.0

Record 23
## LiAl2I6 (PBE-GGA)

Data for a relaxed LiAl2I6 crystal.

abc: 9.3040 9.3040 9.3040
angles: 47.69 47.69 47.69
Closest atoms and distances in Å follow each position.
Fractional positions:
Li1 0.0000 0.0000 0.0000  6 I 3.10
Al1 0.2777 0.2777 0.2777  3 I 2.55, 1 Al 2.74
Al2 0.3887 0.3887 0.3887  3 I 2.55, 1 Al 2.74
I1 0.0949 0.3904 0.7527  1 Al 2.55
I2 0.2301 0.9367 0.5944  1 Al 2.55
I3 0.3904 0.7527 0.0949  1 Al 2.55
I4 0.5944 0.2301 0.9367  1 Al 2.55
I5 0.7527 0.0949 0.3904  1 Al 2.55
I6 0.9367 0.5944 0.2301  1 Al 2.55

Results
Symmetry: R3, No. 146

What are the VASP energy values for these records? In order: -2.8501 -4.2745 -4.4125 -3.1256 -5.2109 -4.7440 -6.4100 -5.7681 -3.1519 -5.1824 -3.3906 -3.4319 -3.9168 -3.4890 -5.0145 -2.5196 -2.4385 -2.6102 -2.8161 -2.2792 -2.2407 -2.8415 -2.7318 eV/atom.
What are the energy relative to the elements, uncorrected values for these records? In order: 691 -1154 -979 287 163 630 -1941 -493 -1161 -535 -212 261 -224 -310 -913 419 -158 -634 -414 1 497 -865 -654 meV per atom.